No. 1
CdMo2 | GGA-PBE | relaxed

Unit cell a=5.360 b=5.360 c=8.702 alpha=90.00 beta=90.00 gamma=60.00
Element x y z (fractional)
Mo 0.000 0.000 0.000
Mo 0.000 0.000 0.500
Mo 0.831 0.337 0.750
Mo 0.337 0.831 0.750
Mo 0.169 0.169 0.250
Mo 0.831 0.831 0.750
Mo 0.663 0.169 0.250
Mo 0.169 0.663 0.250
Cd 0.667 0.667 0.063
Cd 0.667 0.667 0.437
Cd 0.333 0.333 0.563
Cd 0.333 0.333 0.937

Values from the calculation:
- Density: 9.33 Mg/m³
- Offset from the most stable computed form: 0.164 eV/atom
- Total magnetic moment: 0.0 μB/cell
- Volume: 217 Å³ per cell

No. 2
Cd4Mo5 | GGA-PBE | relaxed

Unit cell a=6.817 b=6.817 c=6.817 alpha=94.06 beta=94.06 gamma=149.15
Element x y z (fractional)
Cd 0.000 0.671 0.671
Cd 0.000 0.329 0.329
Cd 0.329 0.000 0.329
Cd 0.671 0.000 0.671
Mo 0.000 0.000 0.000
Mo 0.334 0.666 0.000
Mo 0.334 0.334 0.667
Mo 0.666 0.666 0.333
Mo 0.666 0.334 0.000

Values from the calculation:
- Density: 9.86 Mg/m³
- Total magnetic moment: 0.0 μB/cell
- Volume: 157 Å³ per cell
- Final energy: -53.9 eV per cell

No. 3
CdMo | GGA-PBE | relaxed

Unit cell a=4.724 b=5.847 c=5.146 alpha=90.00 beta=90.00 gamma=90.00
Element x y z (fractional)
Cd 0.250 0.122 0.087
Cd 0.750 0.622 0.413
Cd 0.250 0.378 0.587
Cd 0.750 0.878 0.913
Mo 0.250 0.618 0.072
Mo 0.750 0.118 0.428
Mo 0.250 0.882 0.572
Mo 0.750 0.382 0.928

Values from the calculation:
- Density: 9.74 Mg/m³
- Offset from the most stable computed form: 0.278 eV/atom
- Total magnetic moment: 0.0 μB/cell
- Volume: 142 Å³ per cell

No. 4
CdMo | GGA-PBE | relaxed

Unit cell a=2.752 b=4.999 c=5.433 alpha=94.06 beta=90.00 gamma=74.02
Element x y z (fractional)
Cd 0.750 0.499 0.759
Cd 0.000 0.001 0.991
Mo 0.497 0.007 0.474
Mo 0.253 0.493 0.276

Values from the calculation:
- Density: 9.66 Mg/m³
- Offset from the most stable computed form: 0.191 eV/atom
- Total magnetic moment: 0.0 μB/cell
- Volume: 72 Å³ per cell

No. 5
CdMo | GGA-PBE | relaxed

Unit cell a=7.971 b=7.971 c=7.971 alpha=90.00 beta=90.00 gamma=90.00
Last column: magnetic moment on the atom in μB.
Element x y z (fractional)
Cd 0.250 0.500 0.000  0.07
Cd 0.750 0.500 0.000  0.07
Cd 0.500 0.000 0.250  0.07
Cd 0.500 0.000 0.750  0.07
Cd 0.000 0.250 0.500  0.07
Cd 0.000 0.750 0.500  0.07
Mo 0.250 0.000 0.500  3.29
Mo 0.750 0.000 0.500  3.29
Mo 0.000 0.500 0.250  3.29
Mo 0.000 0.500 0.750  3.29
Mo 0.500 0.250 0.000  3.29
Mo 0.500 0.750 0.000  3.29

Values from the calculation:
- Density: 4.10 Mg/m³
- Offset from the most stable computed form: 2.156 eV/atom
- Total magnetic moment: 24.7 μB/cell
- Volume: 506 Å³ per cell

No. 6
Cd2Mo | GGA-PBE | relaxed

Unit cell a=7.255 b=7.255 c=7.255 alpha=157.33 beta=157.33 gamma=32.27
Element x y z (fractional)
Cd 0.993 0.993 0.000
Cd 0.674 0.674 0.000
Mo 0.333 0.333 0.000

Values from the calculation:
- Density: 9.40 Mg/m³
- Offset from the most stable computed form: 0.091 eV/atom
- Total magnetic moment: 0.0 μB/cell
- Volume: 57 Å³ per cell

No. 7
CdMo | GGA-PBE | relaxed

Unit cell a=5.487 b=5.487 c=5.633 alpha=90.00 beta=90.00 gamma=90.00
Element x y z (fractional)
Cd 0.174 0.174 0.000
Cd 0.674 0.326 0.500
Cd 0.326 0.674 0.500
Cd 0.826 0.826 0.000
Mo 0.352 0.648 0.000
Mo 0.852 0.852 0.500
Mo 0.148 0.148 0.500
Mo 0.648 0.352 0.000

Values from the calculation:
- Density: 8.16 Mg/m³
- Offset from the most stable computed form: 0.875 eV/atom
- Total magnetic moment: 0.0 μB/cell
- Volume: 170 Å³ per cell

No. 8
CdMo | GGA-PBE | relaxed

Unit cell a=4.664 b=4.664 c=4.664 alpha=60.00 beta=60.00 gamma=60.00
Element x y z (fractional)
Cd 0.000 0.000 0.000
Cd 0.750 0.750 0.750
Mo 0.250 0.250 0.250
Mo 0.500 0.500 0.500

Values from the calculation:
- Density: 9.65 Mg/m³
- Offset from the most stable computed form: 0.331 eV/atom
- Total magnetic moment: 0.0 μB/cell
- Volume: 72 Å³ per cell

No. 9
Cd2Mo | GGA-PBE | relaxed

Unit cell a=8.008 b=8.008 c=3.232 alpha=90.00 beta=90.00 gamma=144.30
Element x y z (fractional)
Cd 0.586 0.414 0.250
Cd 0.414 0.586 0.750
Cd 0.227 0.773 0.250
Cd 0.773 0.227 0.750
Mo 0.940 0.060 0.250
Mo 0.060 0.940 0.750

Values from the calculation:
- Density: 8.81 Mg/m³
- Offset from the most stable computed form: 0.015 eV/atom
- Total magnetic moment: 0.0 μB/cell
- Volume: 121 Å³ per cell

No. 10
CdMo2 | GGA-PBE | relaxed

Unit cell a=5.604 b=5.604 c=7.283 alpha=78.34 beta=78.34 gamma=27.87
Element x y z (fractional)
Cd 0.633 0.633 0.976
Cd 0.367 0.367 0.024
Mo 0.022 0.022 0.669
Mo 0.978 0.978 0.331
Mo 0.706 0.706 0.359
Mo 0.294 0.294 0.641

Values from the calculation:
- Density: 9.66 Mg/m³
- Offset from the most stable computed form: 0.130 eV/atom
- Total magnetic moment: 0.0 μB/cell
- Volume: 105 Å³ per cell

No. 11
Cd2Mo | GGA-PBE | relaxed

Unit cell a=7.478 b=3.236 c=9.803 alpha=90.00 beta=90.00 gamma=90.00
Element x y z (fractional)
Mo 0.086 0.250 0.934
Mo 0.414 0.750 0.434
Mo 0.586 0.250 0.566
Mo 0.914 0.750 0.066
Cd 0.129 0.250 0.266
Cd 0.145 0.250 0.581
Cd 0.355 0.750 0.081
Cd 0.371 0.750 0.766
Cd 0.629 0.250 0.234
Cd 0.645 0.250 0.919
Cd 0.855 0.750 0.419
Cd 0.871 0.750 0.734

Values from the calculation:
- Density: 8.98 Mg/m³
- Offset from the most stable computed form: 0.032 eV/atom
- Total magnetic moment: 0.0 μB/cell
- Volume: 237 Å³ per cell

No. 12
CdMo | GGA-PBE | relaxed

Unit cell a=2.762 b=2.762 c=4.722 alpha=90.00 beta=90.00 gamma=99.65
Element x y z (fractional)
Cd 0.000 0.000 0.000
Mo 0.500 0.500 0.500

Values from the calculation:
- Density: 9.74 Mg/m³
- Offset from the most stable computed form: 0.228 eV/atom
- Total magnetic moment: 0.0 μB/cell
- Volume: 36 Å³ per cell

No. 13
CdMo | GGA-PBE | relaxed

Unit cell a=3.909 b=3.909 c=4.643 alpha=90.00 beta=90.00 gamma=90.00
Element x y z (fractional)
Cd 0.250 0.750 0.000
Cd 0.750 0.250 0.000
Mo 0.250 0.250 0.500
Mo 0.750 0.750 0.500

Values from the calculation:
- Density: 9.75 Mg/m³
- Offset from the most stable computed form: 0.238 eV/atom
- Total magnetic moment: 0.0 μB/cell
- Volume: 71 Å³ per cell

No. 14
CdMo2 | GGA-PBE | relaxed

Unit cell a=8.182 b=8.182 c=2.661 alpha=90.00 beta=90.00 gamma=120.00
Element x y z (fractional)
Cd 0.000 0.000 0.500
Cd 0.333 0.667 0.000
Cd 0.667 0.333 0.000
Mo 0.000 0.318 0.000
Mo 0.000 0.653 0.500
Mo 0.318 0.000 0.000
Mo 0.682 0.682 0.000
Mo 0.653 0.000 0.500
Mo 0.347 0.347 0.500

Values from the calculation:
- Density: 9.82 Mg/m³
- Offset from the most stable computed form: 0.171 eV/atom
- Total magnetic moment: 0.0 μB/cell
- Volume: 154 Å³ per cell

No. 15
Cd2Mo | GGA-PBE | relaxed

Unit cell a=14.485 b=14.485 c=14.485 alpha=168.75 beta=168.75 gamma=15.94
Element x y z (fractional)
Cd 0.328 0.828 0.500
Cd 0.172 0.672 0.500
Cd 0.578 0.578 0.000
Cd 0.422 0.422 0.000
Mo 0.000 0.000 0.000
Mo 0.750 0.250 0.500

Values from the calculation:
- Density: 9.20 Mg/m³
- Offset from the most stable computed form: 0.090 eV/atom
- Total magnetic moment: 0.0 μB/cell
- Volume: 116 Å³ per cell

No. 16
CdMo | GGA-PBE | relaxed

Unit cell a=4.200 b=4.200 c=4.996 alpha=65.14 beta=65.14 gamma=90.00
Element x y z (fractional)
Cd 0.000 0.000 0.000
Cd 0.750 0.250 0.500
Mo 0.250 0.750 0.500
Mo 0.500 0.500 0.000

Values from the calculation:
- Density: 9.76 Mg/m³
- Offset from the most stable computed form: 0.300 eV/atom
- Total magnetic moment: 0.0 μB/cell
- Volume: 71 Å³ per cell

No. 17
CdMo | GGA-PBE | relaxed

Unit cell a=11.544 b=11.544 c=3.060 alpha=90.00 beta=90.00 gamma=90.00
Element x y z (fractional)
Cd 0.534 0.317 0.000
Cd 0.466 0.683 0.000
Cd 0.683 0.534 0.000
Cd 0.317 0.466 0.000
Cd 0.034 0.817 0.500
Cd 0.966 0.183 0.500
Cd 0.183 0.034 0.500
Cd 0.817 0.966 0.500
Mo 0.265 0.827 0.000
Mo 0.735 0.173 0.000
Mo 0.173 0.265 0.000
Mo 0.827 0.735 0.000
Mo 0.765 0.327 0.500
Mo 0.235 0.673 0.500
Mo 0.673 0.765 0.500
Mo 0.327 0.235 0.500

Values from the calculation:
- Density: 6.79 Mg/m³
- Offset from the most stable computed form: 0.604 eV/atom
- Total magnetic moment: 0.0 μB/cell
- Volume: 408 Å³ per cell

No. 18
CdMo | GGA-PBE | relaxed

Unit cell a=12.717 b=2.804 c=7.074 alpha=90.00 beta=90.00 gamma=90.00
Element x y z (fractional)
Cd 0.768 0.978 0.295
Cd 0.732 0.022 0.795
Cd 0.232 0.978 0.295
Cd 0.268 0.022 0.795
Cd 0.000 0.916 0.930
Cd 0.500 0.084 0.430
Mo 0.898 0.518 0.584
Mo 0.602 0.482 0.084
Mo 0.102 0.518 0.584
Mo 0.398 0.482 0.084
Mo 0.000 0.246 0.312
Mo 0.500 0.754 0.812

Values from the calculation:
- Density: 8.23 Mg/m³
- Offset from the most stable computed form: 0.253 eV/atom
- Total magnetic moment: 0.0 μB/cell
- Volume: 252 Å³ per cell

No. 19
CdMo | GGA-PBE | relaxed

Unit cell a=5.248 b=5.248 c=5.248 alpha=31.85 beta=31.85 gamma=31.85
Element x y z (fractional)
Cd 0.000 0.000 0.000
Mo 0.500 0.500 0.500

Values from the calculation:
- Density: 9.68 Mg/m³
- Offset from the most stable computed form: 0.294 eV/atom
- Total magnetic moment: 0.0 μB/cell
- Volume: 36 Å³ per cell

No. 20
Cd2Mo | GGA-PBE | relaxed

Unit cell a=8.343 b=8.343 c=4.849 alpha=90.00 beta=90.00 gamma=160.32
Element x y z (fractional)
Cd 0.882 0.118 0.750
Cd 0.118 0.882 0.250
Cd 0.441 0.559 0.250
Cd 0.559 0.441 0.750
Mo 0.224 0.776 0.750
Mo 0.776 0.224 0.250

Values from the calculation:
- Density: 9.37 Mg/m³
- Offset from the most stable computed form: 0.115 eV/atom
- Total magnetic moment: 0.0 μB/cell
- Volume: 114 Å³ per cell

No. 21
Cd2Mo | GGA-PBE | relaxed

Unit cell a=5.821 b=5.821 c=7.342 alpha=75.82 beta=75.82 gamma=28.24
Element x y z (fractional)
Cd 0.006 0.006 0.992
Cd 0.612 0.612 0.283
Cd 0.341 0.341 0.330
Cd 0.660 0.660 0.666
Mo 0.930 0.930 0.628
Mo 0.285 0.285 0.934

Values from the calculation:
- Density: 9.35 Mg/m³
- Offset from the most stable computed form: 0.110 eV/atom
- Total magnetic moment: 0.0 μB/cell
- Volume: 114 Å³ per cell

No. 22
CdMo2 | GGA-PBE | relaxed

Unit cell a=7.322 b=7.322 c=7.322 alpha=158.71 beta=158.71 gamma=30.28
Element x y z (fractional)
Cd 0.000 0.000 0.000
Mo 0.331 0.331 0.000
Mo 0.669 0.669 0.000

Values from the calculation:
- Density: 9.77 Mg/m³
- Offset from the most stable computed form: 0.131 eV/atom
- Total magnetic moment: 0.0 μB/cell
- Volume: 52 Å³ per cell

No. 23
CdMo | GGA-PBE | relaxed

Unit cell a=10.049 b=10.049 c=3.155 alpha=90.00 beta=90.00 gamma=90.00
Element x y z (fractional)
Cd 0.646 0.342 0.500
Cd 0.354 0.658 0.500
Cd 0.658 0.646 0.500
Cd 0.342 0.354 0.500
Cd 0.845 0.852 0.000
Cd 0.155 0.148 0.000
Cd 0.148 0.845 0.000
Cd 0.852 0.155 0.000
Mo 0.992 0.647 0.500
Mo 0.008 0.353 0.500
Mo 0.353 0.992 0.500
Mo 0.647 0.008 0.500
Mo 0.854 0.485 0.000
Mo 0.146 0.515 0.000
Mo 0.515 0.854 0.000
Mo 0.485 0.146 0.000

Values from the calculation:
- Density: 8.69 Mg/m³
- Offset from the most stable computed form: 0.089 eV/atom
- Total magnetic moment: 0.0 μB/cell
- Volume: 319 Å³ per cell

No. 24
CdMo7 | GGA-PBE | relaxed

Unit cell a=5.692 b=5.692 c=5.692 alpha=60.00 beta=60.00 gamma=60.00
Element x y z (fractional)
Cd 0.000 0.000 0.000
Mo 0.500 0.000 0.000
Mo 0.000 0.000 0.500
Mo 0.500 0.000 0.500
Mo 0.000 0.500 0.000
Mo 0.500 0.500 0.000
Mo 0.000 0.500 0.500
Mo 0.500 0.500 0.500

Values from the calculation:
- Density: 9.98 Mg/m³
- Total magnetic moment: 0.0 μB/cell
- Volume: 130 Å³ per cell
- Final energy: -73.4 eV per cell

No. 25
Cd2Mo | GGA-PBE | relaxed

Unit cell a=5.426 b=5.426 c=5.426 alpha=60.00 beta=60.00 gamma=60.00
Element x y z (fractional)
Cd 0.125 0.625 0.125
Cd 0.125 0.125 0.625
Cd 0.625 0.125 0.125
Cd 0.125 0.125 0.125
Mo 0.750 0.750 0.750
Mo 0.500 0.500 0.500

Values from the calculation:
- Density: 9.43 Mg/m³
- Offset from the most stable computed form: 0.420 eV/atom
- Total magnetic moment: 0.0 μB/cell
- Volume: 113 Å³ per cell